# 1
First-principles (PBE) data for a relaxed Pu2Pa8Ti crystal, as listed in the Alexandria database.

The structure belongs to space group C2/m (No. 12); the cell edges are 12.7360, 8.2553 and 5.1416 Å and the angles 90.00°, 95.26° and 90.00°. The inequivalent atoms are Pu at (0.2208, 0.0000, 0.1954), Pa at (0.0786, 0.5000, 0.7343), Pa at (0.1331, 0.0000, 0.6242), Pa at (0.1568, 0.2883, 0.2041) and Ti at (0.0000, 0.0000, 0.0000).

The density of states at the Fermi level comes out at 46.9 states/eV per cell. The calculation puts the formation energy at 0.294 eV/atom. The value obtained for the volume is 538 Å³/cell.



# 2
First-principles (PBE) data for a relaxed CeY2InN crystal, as listed in the Alexandria database.

The structure belongs to space group P4/mmm (No. 123); the cell edges are 4.8795, 4.8795 and 4.8626 Å and the angles 90.00°, 90.00° and 90.00°. The inequivalent atoms are Ce at (0.0000, 0.0000, 0.0000), Y at (0.0000, 0.5000, 0.5000), In at (0.5000, 0.5000, 0.0000) and N at (0.0000, 0.0000, 0.5000).

The density of states at the Fermi level comes out at 6.9 states/eV per cell. The calculation puts the uncorrected formation energy at -0.907 eV/atom. The value obtained for the volume is 116 Å³/cell.



# 3
First-principles (PBE) data for a relaxed TaAsS4 crystal, as listed in the Alexandria database.

The structure belongs to space group C2/c (No. 15); the cell edges are 13.5291, 6.5702 and 6.1663 Å and the angles 90.00°, 113.61° and 90.00°. The inequivalent atoms are Ta at (0.0000, 0.2059, 0.2500), As at (0.2500, 0.2500, 0.0000), S at (0.0954, 0.0927, 0.6555) and S at (0.1456, 0.4043, 0.2466).

The density of states at the Fermi level comes out at 1.4 states/eV per cell. The calculation puts the uncorrected formation energy at -0.294 eV/atom. The value obtained for the volume is 502 Å³/cell.



# 4
First-principles (PBE) data for a relaxed Ac2PuGe4Rh3 crystal, as listed in the Alexandria database.

The structure belongs to space group P-4m2 (No. 115); the cell edges are 4.3991, 4.3991 and 11.2294 Å and the angles 90.00°, 90.00° and 90.00°. The inequivalent atoms are Ac at (0.0000, 0.5000, 0.2315), Pu at (0.0000, 0.0000, 0.5000), Ge at (0.0000, 0.0000, 0.0000), Ge at (0.0000, 0.5000, 0.6677), Ge at (0.5000, 0.5000, 0.0000), Rh at (0.0000, 0.5000, 0.8897) and Rh at (0.5000, 0.5000, 0.5000).

The density of states at the Fermi level comes out at 15.5 states/eV per cell. The calculation puts the formation energy at -0.672 eV/atom. The value obtained for the volume is 217 Å³/cell.



# 5
First-principles (PBE) data for a relaxed KSb crystal, as listed in the Alexandria database.

The structure belongs to space group P4/m (No. 83); the cell edges are 11.5120, 11.5120 and 5.3534 Å and the angles 90.00°, 90.00° and 90.00°. The inequivalent atoms are K at (0.0967, 0.7231, 0.0000), K at (0.2858, 0.6168, 0.5000), Sb at (0.0645, 0.3891, 0.5000) and Sb at (0.1855, 0.4077, 0.0000).

The density of states at the Fermi level comes out at 3.7 states/eV per cell. The calculation puts the uncorrected formation energy at -0.272 eV/atom. For the excess energy over the best structure of this formula in the dataset, the calculation gives 168 meV/atom. The value obtained for the volume is 709 Å³/cell.



# 6
First-principles (PBE) data for a relaxed BaAc8Pt4 crystal, as listed in the Alexandria database.

The structure belongs to space group C2/m (No. 12); the cell edges are 21.6791, 4.4445 and 14.6160 Å and the angles 90.00°, 130.95° and 90.00°. The inequivalent atoms are Ba at (0.0000, 0.0000, 0.0000), Ac at (0.0424, 0.0000, 0.7422), Ac at (0.1295, 0.5000, 0.5867), Ac at (0.1689, 0.5000, 0.3443), Ac at (0.2084, 0.5000, 0.0744), Pt at (0.1454, 0.0000, 0.4610) and Pt at (0.1660, 0.5000, 0.8289).

The density of states at the Fermi level comes out at 25.3 states/eV per cell. The calculation puts the formation energy at -0.735 eV/atom. The value obtained for the volume is 1064 Å³/cell.